A relaxed Rb2TlPd crystal, computed with PBEsol.

Lattice parameters (Å, degrees): 8.1253 8.1253 8.1253 90.00 90.00 90.00
Space group Fm-3m (No. 225)
Symmetry-distinct sites (fractional):
Rb  0.2500  0.2500  0.2500 [8 per cell]
Tl  0.0000  0.0000  0.0000 [4 per cell]
Pd  0.0000  0.0000  0.5000 [4 per cell]

Summary:
Fermi-level density of states: 10.99 states/eV per cell
energy: -2.33 eV/atom
density: 6.0 g cm⁻³
calculated formation energy: 333 meV/atom